Record 1
KLiHg2Br6 | PBE | relaxed

a = 7.395 Å, b = 7.393 Å, c = 8.600 Å
α = 89.99°, β = 115.44°, γ = 120.03°
Atoms (fractional coordinates):
1 Li 0.997 0.998 0.980
2 K 0.997 0.498 0.480
3 Br 0.146 0.373 0.203
4 Br 0.547 0.924 0.758
5 Br 0.446 0.071 0.203
6 Br 0.847 0.622 0.757
7 Br 0.149 0.224 0.758
8 Br 0.844 0.771 0.203
9 Hg 0.527 0.263 0.777
10 Hg 0.466 0.732 0.184

Values from the calculation:
* space group: No. 148
* raw formation energy: -869.8 kJ/mol of formula units

Record 2
KLi2HgBr6 | PBE | relaxed

a = 8.322 Å, b = 10.183 Å, c = 10.183 Å
α = 95.51°, β = 72.26°, γ = 72.26°
Atoms (fractional coordinates):
1 Br 0.272 0.360 0.417
2 Br 0.078 0.641 0.147
3 Br 0.803 0.066 0.207
4 Br 0.772 0.417 0.360
5 Br 0.922 0.359 0.853
6 Br 0.228 0.583 0.640
7 Br 0.422 0.853 0.359
8 Br 0.578 0.147 0.641
9 Br 0.697 0.793 0.934
10 Br 0.728 0.640 0.583
11 Br 0.303 0.207 0.066
12 Br 0.197 0.934 0.793
13 Li 0.913 0.576 0.746
14 Li 0.087 0.424 0.254
15 Li 0.587 0.254 0.424
16 Li 0.413 0.746 0.576
17 K 0.750 0.102 0.898
18 K 0.250 0.898 0.102
19 Hg 0.250 0.192 0.808
20 Hg 0.750 0.808 0.192

Values from the calculation:
* space group: No. 15
* raw formation energy: -996.2 kJ/mol of formula units

Record 3
KMgHgBr2 | PBE | relaxed

a = 5.637 Å, b = 5.637 Å, c = 5.526 Å
α = 90.00°, β = 90.00°, γ = 90.00°
Atoms (fractional coordinates):
1 Hg 0.000 0.000 0.500
2 Br 0.000 0.500 0.000
3 Br 0.500 0.000 0.000
4 Mg 0.000 0.000 0.000
5 K 0.500 0.500 0.500

Values from the calculation:
* space group: No. 123
* raw formation energy: -437.1 kJ/mol of formula units